Entry 1:
Computed, not measured: Li2AlSi after structural relaxation at the PBE-GGA level of DFT.

Summary:
Magnetic moment in μB/f.u.: 0.0
Calculated total energy in eV per atom: -3.38
Energy relative to the elements, uncorrected in eV per formula unit: -0.537

Lattice parameters (Å, degrees): 2.6735 2.6735 8.5358 90.00 90.00 90.00
With the nearest neighbours (Å) after each atom.
Space group P4/mmm (No. 123)
Inequivalent atoms, fractional coordinates:
1 Li 0.0000 0.0000 0.2343 x2  4 Li 2.67, 4 Si 2.75, 4 Al 2.95
2 Al 0.5000 0.5000 0.5000 x1  4 Al 2.67, 8 Li 2.95
3 Si 0.5000 0.5000 0.0000 x1  4 Si 2.67, 8 Li 2.75

Entry 2:
Computed, not measured: Cs2NdDySe4 after structural relaxation at the PBE-GGA level of DFT.

Summary:
Magnetic moment in μB/f.u.: 0.0
Calculated total energy in eV per atom: -4.85
Energy relative to the elements, uncorrected in eV per formula unit: -13.799

Lattice parameters (Å, degrees): 7.5132 4.3361 8.7568 90.00 106.59 90.00
With the nearest neighbours (Å) after each atom.
Space group P2/m (No. 10)
Inequivalent atoms, fractional coordinates:
1 Cs 0.0000 0.0000 0.0000 x1  6 Se 3.65
2 Cs 0.5000 0.5000 0.0000 x1  6 Se 3.60
3 Nd 0.0000 0.5000 0.5000 x1  6 Se 2.99-3.00
4 Dy 0.5000 0.0000 0.5000 x1  6 Se 2.92-2.93
5 Se 0.2370 0.0000 0.6893 x2  1 Dy 2.92, 2 Nd 2.99
6 Se 0.2783 0.5000 0.3136 x2  2 Dy 2.93, 1 Nd 3.00

Entry 3:
Computed, not measured: Si2WSe after structural relaxation at the PBE-GGA level of DFT.

Summary:
Magnetic moment in μB/f.u.: 0.0
Calculated total energy in eV per atom: -6.76
Energy relative to the elements, uncorrected in eV per formula unit: 0.228

Lattice parameters (Å, degrees): 4.8843 5.0958 6.4345 79.86 75.27 66.50
With the nearest neighbours (Å) after each atom.
Space group P-1 (No. 2)
Inequivalent atoms, fractional coordinates:
1 Si 0.1041 0.0495 0.3145 x2  2 Si 2.39-2.47, 1 Se 2.44, 1 W 2.60
2 Si 0.3630 0.2033 0.8648 x2  2 Si 2.47-2.61, 4 W 2.64-2.70
3 W 0.2174 0.7316 0.9828 x2  2 Se 2.56-2.63, 6 Si 2.60-2.72, 2 W 2.72-2.86
4 Se 0.3278 0.3927 0.3358 x2  1 Si 2.44, 2 W 2.56-2.63

Entry 4:
Computed, not measured: FeTcMoW after structural relaxation at the PBE-GGA level of DFT.

Summary:
Formation energy from the elements in eV/f.u.: 0.46
Magnetic moment in μB/f.u.: 3.0
Calculated total energy in eV per atom: -10.54

Lattice parameters (Å, degrees): 6.1830 6.1830 6.1830 90.00 90.00 90.00
With the nearest neighbours (Å) after each atom.
Space group F-43m (No. 216)
Inequivalent atoms, fractional coordinates:
1 Fe 0.0000 0.0000 0.0000 x4  4 Mo 2.68, 4 Tc 2.68
2 Tc 0.2500 0.2500 0.2500 x4  4 W 2.68, 4 Fe 2.68
3 Mo 0.2500 0.2500 0.7500 x4  4 W 2.68, 4 Fe 2.68
4 W 0.0000 0.0000 0.5000 x4  4 Mo 2.68, 4 Tc 2.68